A relaxed Na3Li3Fe2P2C2O14 crystal, computed with PBE with a Hubbard U.

Properties
Density of states at the Fermi level ... 0.000 states/eV/atom
Final energy ... -6.57 eV/atom
V ... 11.5 A^3/atom

Unit cell a=5.101 b=6.776 c=8.710 alpha=89.16 beta=85.93 gamma=89.44
Positions (direct):
Na1 0.732 0.989 0.738
Na2 0.731 0.507 0.742
Na3 0.273 0.493 0.259
Li1 0.204 0.755 0.893
Li2 0.270 0.022 0.275
Li3 0.780 0.233 0.106
Fe1 0.220 0.247 0.650
Fe2 0.796 0.762 0.343
P1 0.282 0.752 0.588
P2 0.735 0.249 0.406
C1 0.294 0.238 0.956
C2 0.683 0.760 0.051
O1 0.586 0.747 0.918
O2 0.046 0.244 0.935
O3 0.462 0.243 0.835
O4 0.190 0.929 0.692
O5 0.194 0.566 0.685
O6 0.586 0.752 0.560
O7 0.851 0.256 0.565
O8 0.162 0.761 0.429
O9 0.431 0.219 0.431
O10 0.793 0.439 0.307
O11 0.859 0.078 0.306
O12 0.523 0.780 0.175
O13 0.933 0.751 0.066
O14 0.383 0.227 0.092